--- one ---
Compound: Ta2PSe
Source: the Alexandria database
Functional: PBE
Structure: relaxed

Cell: 3.3196 3.3196 24.9665 Å, 90.00 90.00 120.00°
Space group R3m (No. 160, hexagonal axes)
Inequivalent atoms, fractional coordinates:
Ta: 0.0000 0.0000 0.0000
Ta: 0.0000 0.0000 0.2448
P: 0.0000 0.0000 0.7288
Se: 0.0000 0.0000 0.5084

Calculated values
Crystal system ... trigonal
Fermi-level density of states ... 6.98 states/eV/cell


--- two ---
Compound: Ta2PSe
Source: the Alexandria database
Functional: PBE
Structure: relaxed

Cell: 3.161 3.161 6.429 Å, 90.00 90.00 90.00°
Space group P4/mmm (No. 123)
Inequivalent atoms, fractional coordinates:
Ta: 0.000 0.000 0.225
P: 0.500 0.500 0.000
Se: 0.500 0.500 0.500

Calculated values
Crystal system ... tetragonal
Fermi-level density of states ... 3.36 states/eV/cell


--- three ---
Compound: Ta2PSe
Source: the Alexandria database
Functional: PBE
Structure: relaxed

Cell: 3.358 3.358 5.998 Å, 90.00 90.00 90.00°
Space group P4mm (No. 99)
Inequivalent atoms, fractional coordinates:
Ta: 0.000 0.000 0.000
Ta: 0.500 0.500 0.319
P: 0.000 0.000 0.458
Se: 0.500 0.500 0.796

Calculated values
Crystal system ... tetragonal
Fermi-level density of states ... 2.92 states/eV/cell


--- four ---
Compound: Ta2PSe
Source: the Alexandria database
Functional: PBE
Structure: relaxed

Cell: 6.490 6.490 6.490 Å, 90.00 90.00 90.00°
Space group F-43m (No. 216)
Inequivalent atoms, fractional coordinates:
Ta: 0.000 0.000 0.000
Ta: 0.250 0.250 0.250
P: 0.000 0.000 0.500
Se: 0.250 0.250 0.750

Calculated values
Crystal system ... cubic
Fermi-level density of states ... 7.64 states/eV/cell


Here are the energies relative to the best structure, in meV per atom: one 220; two 137; three 0; four 918.


--- one ---
Compound: Ta2PSe
Source: the Alexandria database
Functional: PBE
Structure: relaxed

Cell: 7.019 3.591 6.234 Å, 90.00 108.79 90.00°
Space group C2/m (No. 12)
Inequivalent atoms, fractional coordinates:
Ta: 0.235 0.000 0.176
P: 0.000 0.500 0.000
Se: 0.000 0.000 0.500

Calculated values
Crystal system ... monoclinic
Fermi-level density of states ... 7.28 states/eV/cell


--- two ---
Compound: Ta2PSe
Source: the Alexandria database
Functional: PBE
Structure: relaxed

Cell: 3.137 4.367 10.195 Å, 90.00 90.00 90.00°
Space group Imm2 (No. 44)
Inequivalent atoms, fractional coordinates:
Ta: 0.000 0.000 0.000
Ta: 0.000 0.500 0.207
P: 0.000 0.000 0.510
Se: 0.000 0.500 0.715

Calculated values
Crystal system ... orthorhombic
Fermi-level density of states ... 3.72 states/eV/cell


Here are the energies relative to the best structure, in meV per atom: one 0; two 83.


--- one ---
Compound: Ta2PSe
Source: the Alexandria database
Functional: PBE
Structure: relaxed

Cell: 3.497 4.836 9.745 Å, 90.00 90.00 90.00°
Space group Cmm2 (No. 35)
Inequivalent atoms, fractional coordinates:
Ta: 0.000 0.000 0.000
Ta: 0.000 0.500 0.232
P: 0.000 0.000 0.415
Se: 0.000 0.500 0.804

Calculated values
Crystal system ... orthorhombic
Fermi-level density of states ... 1.81 states/eV/cell


--- two ---
Compound: Ta2PSe
Source: the Alexandria database
Functional: PBE
Structure: relaxed

Cell: 4.767 4.767 14.813 Å, 90.00 90.00 90.00°
Space group I-42d (No. 122)
Inequivalent atoms, fractional coordinates:
Ta: 0.211 0.250 0.125
P: 0.000 0.000 0.000
Se: 0.000 0.000 0.500

Calculated values
Crystal system ... tetragonal
Fermi-level density of states ... 16.40 states/eV/cell


--- three ---
Compound: Ta2PSe
Source: the Alexandria database
Functional: PBE
Structure: relaxed

Cell: 3.602 3.602 10.444 Å, 90.00 90.00 90.00°
Space group I-4m2 (No. 119)
Inequivalent atoms, fractional coordinates:
Ta: 0.000 0.000 0.000
Ta: 0.000 0.500 0.250
P: 0.000 0.500 0.750
Se: 0.000 0.000 0.500

Calculated values
Crystal system ... tetragonal
Fermi-level density of states ... 5.27 states/eV/cell


--- four ---
Compound: Ta2PSe
Source: the Alexandria database
Functional: PBE
Structure: relaxed

Cell: 9.024 3.236 4.655 Å, 90.00 104.09 90.00°
Space group Cm (No. 8)
Inequivalent atoms, fractional coordinates:
Ta: 0.000 0.000 0.000
Ta: 0.231 0.000 0.621
P: 0.005 0.500 0.526
Se: 0.237 0.500 0.150

Calculated values
Crystal system ... monoclinic
Fermi-level density of states ... 6.54 states/eV/cell


Here are the energies relative to the best structure, in meV per atom: one 185; two 582; three 422; four 0.


--- one ---
Compound: Ta2PSe
Source: the Alexandria database
Functional: PBE
Structure: relaxed

Cell: 6.337 6.337 6.337 Å, 90.00 90.00 90.00°
Space group Fm-3m (No. 225)
Inequivalent atoms, fractional coordinates:
Ta: 0.250 0.250 0.250
P: 0.000 0.000 0.000
Se: 0.000 0.000 0.500

Calculated values
Crystal system ... cubic
Fermi-level density of states ... 23.09 states/eV/cell


--- two ---
Compound: Ta2PSe
Source: the Alexandria database
Functional: PBE
Structure: relaxed

Cell: 3.266 4.834 4.313 Å, 90.00 90.00 90.00°
Space group Pmm2 (No. 25)
Inequivalent atoms, fractional coordinates:
Ta: 0.000 0.000 0.000
Ta: 0.500 0.500 0.266
P: 0.500 0.000 0.461
Se: 0.000 0.500 0.780

Calculated values
Crystal system ... orthorhombic
Fermi-level density of states ... 2.50 states/eV/cell


Here are the energies relative to the best structure, in meV per atom: one 10; two 0.


--- one ---
Compound: Ta2P2Se
Source: the Alexandria database
Functional: PBE
Structure: relaxed

Cell: 3.439 3.439 13.735 Å, 90.00 90.00 90.00°
Space group I4/mmm (No. 139)
Inequivalent atoms, fractional coordinates:
Ta: 0.000 0.000 0.117
P: 0.000 0.500 0.250
Se: 0.000 0.000 0.500

Calculated values
Crystal system ... tetragonal
Fermi-level density of states ... 7.15 states/eV/cell


--- two ---
Compound: Ta2P2Se
Source: the Alexandria database
Functional: PBE
Structure: relaxed

Cell: 7.101 7.101 3.271 Å, 90.00 90.00 90.00°
Space group P4/mbm (No. 127)
Inequivalent atoms, fractional coordinates:
Ta: 0.149 0.351 0.000
P: 0.135 0.635 0.500
Se: 0.000 0.000 0.000

Calculated values
Crystal system ... tetragonal
Fermi-level density of states ... 3.30 states/eV/cell


Here are the energies relative to the best structure, in meV per atom: one 338; two 0.


--- one ---
Compound: TaP2Se2
Source: the Alexandria database
Functional: PBE
Structure: relaxed

Cell: 7.380 7.380 3.275 Å, 90.00 90.00 90.00°
Space group P4/mbm (No. 127)
Inequivalent atoms, fractional coordinates:
Ta: 0.000 0.000 0.000
P: 0.197 0.303 0.500
Se: 0.139 0.639 0.000

Calculated values
Crystal system ... tetragonal
Fermi-level density of states ... 6.27 states/eV/cell


--- two ---
Compound: TaP2Se2
Source: the Alexandria database
Functional: PBE
Structure: relaxed

Cell: 3.190 3.190 22.636 Å, 90.00 90.00 90.00°
Space group I4/mmm (No. 139)
Inequivalent atoms, fractional coordinates:
Ta: 0.000 0.000 0.000
P: 0.000 0.500 0.250
Se: 0.000 0.000 0.430

Calculated values
Crystal system ... tetragonal
Fermi-level density of states ... 7.63 states/eV/cell


Here are the energies relative to the best structure, in meV per atom: one 619; two 0.


--- one ---
Compound: TcPSe
Source: the Alexandria database
Functional: PBE
Structure: relaxed

Cell: 3.180 5.809 6.965 Å, 65.44 83.80 89.96°
Space group P-1 (No. 2)
Inequivalent atoms, fractional coordinates:
Tc: 0.000 0.248 0.000
P: 0.458 0.906 0.189
Se: 0.060 0.655 0.688

Calculated values
Crystal system ... triclinic
Fermi-level density of states ... 3.97 states/eV/cell


--- two ---
Compound: TcPSe
Source: the Alexandria database
Functional: PBE
Structure: relaxed

Cell: 5.885 5.885 5.885 Å, 90.00 90.00 90.00°
Space group F-43m (No. 216)
Inequivalent atoms, fractional coordinates:
Tc: 0.000 0.000 0.000
P: 0.250 0.250 0.250
Se: 0.000 0.000 0.500

Calculated values
Crystal system ... cubic
Fermi-level density of states ... 14.25 states/eV/cell


Here are the energies relative to the best structure, in meV per atom: one 0; two 751.


--- one ---
Compound: TcPSe
Source: the Alexandria database
Functional: PBE
Structure: relaxed

Cell: 5.919 5.919 5.919 Å, 90.00 90.00 90.00°
Space group F-43m (No. 216)
Inequivalent atoms, fractional coordinates:
Tc: 0.000 0.000 0.000
P: 0.250 0.250 0.250
Se: 0.250 0.250 0.750

Calculated values
Crystal system ... cubic
Fermi-level density of states ... 11.47 states/eV/cell


--- two ---
Compound: TcPSe
Source: the Alexandria database
Functional: PBE
Structure: relaxed

Cell: 3.2185 3.2185 5.6297 Å, 90.00 90.00 120.00°
Space group P3m1 (No. 156)
Inequivalent atoms, fractional coordinates:
Tc: 0.0000 0.0000 0.0000
P: 0.6667 0.3333 0.2718
Se: 0.3333 0.6667 0.6849

Calculated values
Crystal system ... trigonal
Fermi-level density of states ... 0.86 states/eV/cell


Here are the energies relative to the best structure, in meV per atom: one 156; two 0.


--- one ---
Compound: Tc2PSe2
Source: the Alexandria database
Functional: PBE
Structure: relaxed

Cell: 7.390 7.390 3.012 Å, 90.00 90.00 90.00°
Space group P4/mbm (No. 127)
Inequivalent atoms, fractional coordinates:
Tc: 0.147 0.353 0.000
P: 0.000 0.000 0.500
Se: 0.142 0.642 0.500

Calculated values
Crystal system ... tetragonal
Fermi-level density of states ... 11.09 states/eV/cell


--- two ---
Compound: Tc2PSe2
Source: the Alexandria database
Functional: PBE
Structure: relaxed

Cell: 4.336 4.336 9.660 Å, 90.00 90.00 90.00°
Space group I4/mmm (No. 139)
Inequivalent atoms, fractional coordinates:
Tc: 0.000 0.500 0.250
P: 0.000 0.000 0.000
Se: 0.000 0.000 0.365

Calculated values
Crystal system ... tetragonal
Fermi-level density of states ... 6.95 states/eV/cell


Here are the energies relative to the best structure, in meV per atom: one 214; two 0.


--- one ---
Compound: TePSe
Source: the Alexandria database
Functional: PBE
Structure: relaxed

Cell: 5.449 6.128 6.784 Å, 68.55 80.62 68.40°
Space group P1 (No. 1)
Inequivalent atoms, fractional coordinates:
Te: 0.000 0.000 0.000
Te: 0.278 0.267 0.567
P: 0.409 0.514 0.732
P: 0.505 0.215 0.046
Se: 0.577 0.441 0.219
Se: 0.970 0.716 0.795

Calculated values
Crystal system ... triclinic


--- two ---
Compound: TePSe
Source: the Alexandria database
Functional: PBE
Structure: relaxed

Cell: 3.984 3.984 10.828 Å, 90.00 90.00 90.00°
Space group I4mm (No. 107)
Inequivalent atoms, fractional coordinates:
Te: 0.000 0.000 0.000
P: 0.000 0.000 0.469
Se: 0.000 0.000 0.674

Calculated values
Crystal system ... tetragonal
Fermi-level density of states ... 5.59 states/eV/cell


Here are the energies relative to the best structure, in meV per atom: one 0; two 310.


--- one ---
Compound: TeP2Se
Source: the Alexandria database
Functional: PBE
Structure: relaxed

Cell: 4.857 3.905 4.982 Å, 90.00 106.45 90.00°
Space group P2/m (No. 10)
Inequivalent atoms, fractional coordinates:
Te: 0.000 0.000 0.000
P: 0.197 0.500 0.683
Se: 0.500 0.000 0.500

Calculated values
Crystal system ... monoclinic
Fermi-level density of states ... 1.98 states/eV/cell


--- two ---
Compound: TeP2Se
Source: the Alexandria database
Functional: PBE
Structure: relaxed

Cell: 3.674 3.674 15.621 Å, 90.00 90.00 90.00°
Space group I-4m2 (No. 119)
Inequivalent atoms, fractional coordinates:
Te: 0.000 0.000 0.000
P: 0.000 0.000 0.500
P: 0.000 0.500 0.750
Se: 0.000 0.500 0.250

Calculated values
Crystal system ... tetragonal
Fermi-level density of states ... 5.89 states/eV/cell


Here are the energies relative to the best structure, in meV per atom: one 0; two 303.


--- one ---
Compound: TeP2Se
Source: the Alexandria database
Functional: PBE
Structure: relaxed

Cell: 15.878 3.401 4.099 Å, 90.00 96.91 90.00°
Space group Cm (No. 8)
Inequivalent atoms, fractional coordinates:
Te: 0.000 0.000 0.000
P: 0.297 0.500 0.342
P: 0.434 0.000 0.336
Se: 0.244 0.000 0.648

Calculated values
Crystal system ... monoclinic
Fermi-level density of states ... 2.95 states/eV/cell


--- two ---
Compound: TeP2Se
Source: the Alexandria database
Functional: PBE
Structure: relaxed

Cell: 3.666 7.303 8.297 Å, 90.00 90.00 90.00°
Space group Immm (No. 71)
Inequivalent atoms, fractional coordinates:
Te: 0.000 0.000 0.000
P: 0.000 0.238 0.500
Se: 0.000 0.500 0.000

Calculated values
Crystal system ... orthorhombic
Fermi-level density of states ... 4.95 states/eV/cell


Here are the energies relative to the best structure, in meV per atom: one 0; two 267.